Density functional theory data (PBEsol) for a relaxed HfAsSBr2 crystal.

```
5
Lattice="5.0465 0.0000 0.0000 0.0000 5.0465 0.0000 0.0000 0.0000 4.8250" Properties=species:S:1:pos:R:3 pbc="T T T"
Hf 0.0000 0.0000 0.0000
As 2.5233 2.5233 0.0000
S 0.0000 0.0000 2.4125
Br 0.0000 2.5233 2.4125
Br 2.5233 0.0000 2.4125
```

Crystal system: tetragonal
Raw formation energy: 2.67 eV/f.u.

***

Density functional theory data (PBEsol) for a relaxed InTe2Cl crystal.

```
4
Lattice="3.8354 0.0000 0.0000 0.0000 3.8354 0.0000 0.0000 0.0000 7.1855" Properties=species:S:1:pos:R:3 pbc="T T T"
In 0.0000 0.0000 0.0000
Te 1.9177 1.9177 1.4871
Te 1.9177 1.9177 5.6984
Cl 0.0000 0.0000 3.5928
```

Crystal system: tetragonal
Raw formation energy: -0.39 eV/f.u.

***

Density functional theory data (PBEsol) for a relaxed TlAs2Pd2 crystal.

```
5
Lattice="-2.1578 2.1578 5.2939 2.1578 -2.1578 5.2939 2.1578 2.1578 -5.2939" Properties=species:S:1:pos:R:3 pbc="T T T"
Tl 0.0000 0.0000 0.0000
As 0.0000 0.0000 3.9195
As 0.0000 0.0000 6.6683
Pd 2.1578 0.0000 2.6469
Pd 0.0000 2.1578 2.6469
```

Crystal system: tetragonal
Formation enthalpy at 0 K: -0.21 eV per atom

***

Density of states at the Fermi level readings, ordered: 4.6, 1.7, 2.3 states/eV/cell